1.
The following is a PBE calculation of a relaxed structure of Ca2PrGd, from Alexandria.

Properties
DFT total energy = -5.59 eV/atom
energy relative to the lowest polymorph listed for this composition = 0.004 eV/atom
crystal system = tetragonal

Geometry as POSCAR:
```
Ca2PrGd
1.0
5.1922 0.0000 0.0000
0.0000 5.1922 0.0000
0.0000 0.0000 5.5555
Ca Pr Gd
2 1 1
Cartesian
0.0000 2.5961 0.0000
2.5961 0.0000 0.0000
0.0000 0.0000 2.7777
2.5961 2.5961 2.7777
```

=====

2.
The following is a PBE calculation of a relaxed structure of Ca2PrGd, from Alexandria.

Properties
DFT total energy = -5.59 eV/atom
energy relative to the lowest polymorph listed for this composition = 0.000 eV/atom
crystal system = tetragonal

Geometry as POSCAR:
```
Ca2PrGd
1.0
4.1578 0.0000 0.0000
0.0000 4.1578 0.0000
0.0000 0.0000 8.6170
Ca Pr Gd
2 1 1
Cartesian
0.0000 0.0000 2.1276
0.0000 0.0000 6.4894
2.0789 2.0789 4.3085
2.0789 2.0789 0.0000
```

=====

3.
The following is a PBE calculation of a relaxed structure of Ca2PrGd, from Alexandria.

Properties
DFT total energy = -5.59 eV/atom
energy relative to the lowest polymorph listed for this composition = 0.005 eV/atom
crystal system = cubic

Geometry as POSCAR:
```
Ca2PrGd
1.0
8.4082 0.0000 0.0000
0.0000 8.4082 0.0000
0.0000 0.0000 8.4082
Ca Pr Gd
8 4 4
Cartesian
2.1020 2.1020 2.1020
2.1020 2.1020 6.3061
2.1020 6.3061 2.1020
2.1020 6.3061 6.3061
6.3061 2.1020 2.1020
6.3061 2.1020 6.3061
6.3061 6.3061 2.1020
6.3061 6.3061 6.3061
0.0000 0.0000 0.0000
0.0000 4.2041 4.2041
4.2041 0.0000 4.2041
4.2041 4.2041 0.0000
0.0000 0.0000 4.2041
0.0000 4.2041 0.0000
4.2041 0.0000 0.0000
4.2041 4.2041 4.2041
```

=====

4.
The following is a PBE calculation of a relaxed structure of CaPrGd4, from Alexandria.

Properties
DFT total energy = -10.31 eV/atom
crystal system = cubic

Geometry as POSCAR:
```
CaPrGd4
1.0
0.0000 4.7624 4.7624
4.7624 0.0000 4.7624
4.7624 4.7624 0.0000
Ca Pr Gd
1 1 4
Cartesian
0.0000 0.0000 0.0000
7.1437 7.1437 7.1437
3.5877 3.5877 3.5877
5.9372 5.9372 3.5877
5.9372 3.5877 5.9372
3.5877 5.9372 5.9372
```

=====

5.
The following is a PBE calculation of a relaxed structure of CaPrGd, from Alexandria.

Properties
DFT total energy = -6.92 eV/atom
energy relative to the lowest polymorph listed for this composition = 0.000 eV/atom
crystal system = tetragonal

Geometry as POSCAR:
```
CaPrGd
1.0
3.7158 0.0000 0.0000
0.0000 3.7158 0.0000
0.0000 0.0000 15.7736
Ca Pr Gd
2 2 2
Cartesian
0.0000 0.0000 0.0000
1.8579 1.8579 7.8868
0.0000 0.0000 10.6665
1.8579 1.8579 2.7797
0.0000 0.0000 5.1406
1.8579 1.8579 13.0274
```

=====

6.
The following is a PBE calculation of a relaxed structure of CaPrGdSc, from Alexandria.

Properties
DFT total energy = -6.66 eV/atom
crystal system = cubic

Geometry as POSCAR:
```
CaPrGdSc
1.0
8.0571 0.0000 0.0000
0.0000 8.0571 0.0000
0.0000 0.0000 8.0571
Ca Pr Gd Sc
4 4 4 4
Cartesian
0.0000 0.0000 0.0000
0.0000 4.0286 4.0286
4.0286 0.0000 4.0286
4.0286 4.0286 0.0000
2.0143 2.0143 2.0143
2.0143 6.0428 6.0428
6.0428 2.0143 6.0428
6.0428 6.0428 2.0143
2.0143 2.0143 6.0428
2.0143 6.0428 2.0143
6.0428 2.0143 2.0143
6.0428 6.0428 6.0428
0.0000 0.0000 4.0286
0.0000 4.0286 0.0000
4.0286 0.0000 0.0000
4.0286 4.0286 4.0286
```

=====

7.
The following is a PBE calculation of a relaxed structure of CaPrGdSn, from Alexandria.

Properties
DFT total energy = -6.50 eV/atom
crystal system = cubic

Geometry as POSCAR:
```
CaPrGdSn
1.0
7.8552 0.0000 0.0000
0.0000 7.8552 0.0000
0.0000 0.0000 7.8552
Ca Pr Gd Sn
4 4 4 4
Cartesian
0.0000 0.0000 0.0000
0.0000 3.9276 3.9276
3.9276 0.0000 3.9276
3.9276 3.9276 0.0000
1.9638 1.9638 1.9638
1.9638 5.8914 5.8914
5.8914 1.9638 5.8914
5.8914 5.8914 1.9638
1.9638 1.9638 5.8914
1.9638 5.8914 1.9638
5.8914 1.9638 1.9638
5.8914 5.8914 5.8914
0.0000 0.0000 3.9276
0.0000 3.9276 0.0000
3.9276 0.0000 0.0000
3.9276 3.9276 3.9276
```

=====

8.
The following is a PBE calculation of a relaxed structure of CaPrGdTl, from Alexandria.

Properties
DFT total energy = -5.90 eV/atom
crystal system = cubic

Geometry as POSCAR:
```
CaPrGdTl
1.0
7.9491 0.0000 0.0000
0.0000 7.9491 0.0000
0.0000 0.0000 7.9491
Ca Pr Gd Tl
4 4 4 4
Cartesian
0.0000 0.0000 0.0000
0.0000 3.9745 3.9745
3.9745 0.0000 3.9745
3.9745 3.9745 0.0000
1.9873 1.9873 1.9873
1.9873 5.9618 5.9618
5.9618 1.9873 5.9618
5.9618 5.9618 1.9873
1.9873 1.9873 5.9618
1.9873 5.9618 1.9873
5.9618 1.9873 1.9873
5.9618 5.9618 5.9618
0.0000 0.0000 3.9745
0.0000 3.9745 0.0000
3.9745 0.0000 0.0000
3.9745 3.9745 3.9745
```

=====

9.
The following is a PBE calculation of a relaxed structure of CaPrGdY, from Alexandria.

Properties
DFT total energy = -6.71 eV/atom
crystal system = cubic

Geometry as POSCAR:
```
CaPrGdY
1.0
8.2430 0.0000 0.0000
0.0000 8.2430 0.0000
0.0000 0.0000 8.2430
Ca Pr Gd Y
4 4 4 4
Cartesian
0.0000 0.0000 0.0000
0.0000 4.1215 4.1215
4.1215 0.0000 4.1215
4.1215 4.1215 0.0000
2.0607 2.0607 6.1822
2.0607 6.1822 2.0607
6.1822 2.0607 2.0607
6.1822 6.1822 6.1822
0.0000 0.0000 4.1215
0.0000 4.1215 0.0000
4.1215 0.0000 0.0000
4.1215 4.1215 4.1215
2.0607 2.0607 2.0607
2.0607 6.1822 6.1822
6.1822 2.0607 6.1822
6.1822 6.1822 2.0607
```

=====

10.
The following is a PBE calculation of a relaxed structure of Ca2GdPt, from Alexandria.

Properties
DFT total energy = -6.25 eV/atom
crystal system = trigonal

Geometry as POSCAR:
```
Ca2GdPt
1.0
3.7707 0.0000 0.0000
-1.8854 3.2656 0.0000
0.0000 0.0000 32.2234
Ca Gd Pt
6 3 3
Cartesian
0.0000 0.0000 3.5748
0.0000 0.0000 28.6486
0.0000 2.1770 17.9075
0.0000 2.1770 25.0571
1.8854 1.0885 7.1664
1.8854 1.0885 14.3159
0.0000 0.0000 0.0000
0.0000 2.1770 21.4823
1.8854 1.0885 10.7411
0.0000 0.0000 16.1117
0.0000 2.1770 5.3706
1.8854 1.0885 26.8528
```

=====

11.
The following is a PBE calculation of a relaxed structure of CaGd2Pt, from Alexandria.

Properties
DFT total energy = -9.61 eV/atom
energy relative to the lowest polymorph listed for this composition = 0.000 eV/atom
crystal system = tetragonal

Geometry as POSCAR:
```
CaGd2Pt
1.0
3.5809 0.0000 0.0000
0.0000 3.5809 0.0000
0.0000 0.0000 9.3729
Ca Gd Pt
1 2 1
Cartesian
0.0000 0.0000 0.0000
1.7904 1.7904 3.0414
1.7904 1.7904 6.3315
0.0000 0.0000 4.6865
```

=====

12.
The following is a PBE calculation of a relaxed structure of CaGd2Pt, from Alexandria.

Properties
DFT total energy = -9.60 eV/atom
energy relative to the lowest polymorph listed for this composition = 0.008 eV/atom
crystal system = trigonal

Geometry as POSCAR:
```
CaGd2Pt
1.0
4.0594 0.0000 0.0000
-2.0297 3.5156 0.0000
0.0000 0.0000 28.5281
Ca Gd Pt
3 6 3
Cartesian
0.0000 0.0000 0.0000
0.0000 2.3437 19.0188
2.0297 1.1719 9.5094
0.0000 0.0000 6.3340
0.0000 0.0000 22.1942
0.0000 2.3437 12.6848
0.0000 2.3437 25.3527
2.0297 1.1719 3.1754
2.0297 1.1719 15.8434
0.0000 0.0000 14.2641
0.0000 2.3437 4.7547
2.0297 1.1719 23.7734
```

=====

13.
The following is a PBE calculation of a relaxed structure of CaGd3Pt, from Alexandria.

Properties
DFT total energy = -10.44 eV/atom
crystal system = cubic

Geometry as POSCAR:
```
CaGd3Pt
1.0
5.5927 0.0000 0.0000
0.0000 5.5927 0.0000
0.0000 0.0000 5.5927
Ca Gd Pt
1 3 1
Cartesian
0.0000 0.0000 0.0000
0.0000 2.7964 2.7964
2.7964 0.0000 2.7964
2.7964 2.7964 0.0000
2.7964 2.7964 2.7964
```

=====

14.
The following is a PBE calculation of a relaxed structure of CaGdSnPt, from Alexandria.

Properties
DFT total energy = -7.31 eV/atom
crystal system = cubic

Geometry as POSCAR:
```
CaGdSnPt
1.0
7.3197 0.0000 0.0000
0.0000 7.3197 0.0000
0.0000 0.0000 7.3197
Ca Gd Sn Pt
4 4 4 4
Cartesian
0.0000 0.0000 0.0000
0.0000 3.6598 3.6598
3.6598 0.0000 3.6598
3.6598 3.6598 0.0000
0.0000 0.0000 3.6598
0.0000 3.6598 0.0000
3.6598 0.0000 0.0000
3.6598 3.6598 3.6598
1.8299 1.8299 1.8299
1.8299 5.4897 5.4897
5.4897 1.8299 5.4897
5.4897 5.4897 1.8299
1.8299 1.8299 5.4897
1.8299 5.4897 1.8299
5.4897 1.8299 1.8299
5.4897 5.4897 5.4897
```

=====

15.
The following is a PBE calculation of a relaxed structure of CaGdRe4, from Alexandria.

Properties
DFT total energy = -10.93 eV/atom
crystal system = cubic

Geometry as POSCAR:
```
CaGdRe4
1.0
0.0000 3.8391 3.8391
3.8391 0.0000 3.8391
3.8391 3.8391 0.0000
Ca Gd Re
1 1 4
Cartesian
0.0000 0.0000 0.0000
1.9195 1.9195 1.9195
4.7992 2.8789 2.8789
2.8789 4.7992 2.8789
2.8789 2.8789 4.7992
4.7992 4.7992 4.7992
```

=====

| no. | formation energy (eV/atom) | N(E_F) (states/eV per cell) |
| --- | --- | --- |
| 1 | 0.13 | 8.72 |
| 2 | 0.12 | 7.13 |
| 3 | 0.13 | 30.10 |
| 4 | 0.21 | 12.38 |
| 5 | 0.03 | 8.03 |
| 6 | 0.14 | 24.99 |
| 7 | -0.29 | 24.90 |
| 8 | -0.10 | 22.51 |
| 9 | 0.12 | 27.73 |
| 10 | -0.22 | 19.85 |
| 11 | -0.56 | 5.62 |
| 12 | -0.55 | 19.52 |
| 13 | -0.39 | 12.66 |
| 14 | -0.78 | 10.84 |
| 15 | 0.05 | 3.37 |